{
  "formula": "ScSb2Mo",
  "functional": "GGA-PBE",
  "state": "relaxed",
  "m_tot_mub_per_atom": 0.000,
  "e_form_raw_kj_per_mol_atoms": -20.4,
  "n_ef_per_ev_cell": 9.13,
  "sg": "Fm-3m (225)",
  "de_polymorph_mev_per_atom": 0.0,
  "crystal_system": "cubic",
  "cell": [[6.8606, 0.0000, 0.0000], [0.0000, 6.8606, 0.0000], [0.0000, 0.0000, 6.8606]],
  "species": ["Sc", "Sc", "Sc", "Sc", "Sb", "Sb", "Sb", "Sb", "Sb", "Sb", "Sb", "Sb", "Mo", "Mo", "Mo", "Mo"],
  "fractional_positions": [[0.0000, 0.0000, 0.0000], [0.0000, 0.5000, 0.5000], [0.5000, 0.0000, 0.5000], [0.5000, 0.5000, 0.0000], [0.2500, 0.2500, 0.2500], [0.2500, 0.2500, 0.7500], [0.2500, 0.7500, 0.2500], [0.2500, 0.7500, 0.7500], [0.7500, 0.2500, 0.2500], [0.7500, 0.2500, 0.7500], [0.7500, 0.7500, 0.2500], [0.7500, 0.7500, 0.7500], [0.0000, 0.0000, 0.5000], [0.0000, 0.5000, 0.0000], [0.5000, 0.0000, 0.0000], [0.5000, 0.5000, 0.5000]]
}